No. 1
An optimized crystal structure of TiMn2Pd, computed with GGA-PBE.

Its crystal system is tetragonal. The value obtained for the total energy is -31.88 eV per cell. The calculation puts the calculated formation energy at -0.1123 eV per atom. Its space group is P4/mmm, No. 123.

Lattice parameters (Å, degrees): 3.1251 3.1251 5.9841 90.00 90.00 90.00
Fractional positions:
Mn: 0.0000 0.0000 0.7432
Pd: 0.5000 0.5000 0.0000
Ti: 0.5000 0.5000 0.5000
Mn: 0.0000 0.0000 0.2568


No. 2
An optimized crystal structure of NaMnSb2, computed with GGA-PBE.

Its crystal system is tetragonal. The value obtained for the total energy is -34.93 eV per cell. The raw formation energy is 0.317 eV per atom. Its space group is I-42d, No. 122.

Lattice parameters (Å, degrees): 6.1280 6.1280 8.3889 68.58 68.58 90.00
Fractional positions:
Na: 0.5000 0.5000 0.0000
Na: 0.2500 0.7500 0.5000
Sb: 0.3750 0.2023 0.7500
Mn: 0.0000 0.0000 0.0000
Sb: 0.9523 0.6250 0.2500
Mn: 0.7500 0.2500 0.5000
Sb: 0.7977 0.1250 0.2500
Sb: 0.8750 0.0477 0.7500


No. 3
An optimized crystal structure of K2FeNi, computed with GGA-PBE.

Its crystal system is monoclinic. The value obtained for the total energy is -11.77 eV per cell. The calculation puts the calculated formation energy at 1.1673 eV per atom. Its space group is P2/m, No. 10.

Lattice parameters (Å, degrees): 5.2575 3.0189 6.6518 63.28 90.00 90.00
Fractional positions:
Fe: 0.5000 0.7500 0.7500
K: 0.0000 0.4988 0.4948
Ni: 0.5000 0.2500 0.2500
K: 0.0000 0.0012 0.0052


No. 4
An optimized crystal structure of Tc4IrOs, computed with GGA-PBE.

Its crystal system is cubic. The value obtained for the total energy is -59.13 eV per cell. The calculation puts the calculated formation energy at 0.4037 eV per atom. Its space group is F-43m, No. 216.

Lattice parameters (Å, degrees): 5.0378 5.0378 5.0378 60.00 60.00 60.00
Fractional positions:
Ir: 0.7500 0.7500 0.7500
Tc: 0.3755 0.3755 0.3755
Tc: 0.3755 0.3755 0.8736
Tc: 0.8736 0.3755 0.3755
Os: 0.0000 0.0000 0.0000
Tc: 0.3755 0.8736 0.3755


No. 5
An optimized crystal structure of Al2CdW, computed with GGA-PBE.

Its crystal system is monoclinic. The value obtained for the total energy is -20.51 eV per cell. The calculation puts the calculated formation energy at 0.2116 eV per atom. Its space group is C2/m, No. 12.

Lattice parameters (Å, degrees): 4.9223 4.9223 5.2413 82.92 82.92 33.12
Fractional positions:
W: 0.2500 0.2500 0.2500
Al: 0.9880 0.9880 0.0276
Cd: 0.7500 0.7500 0.7500
Al: 0.5120 0.5120 0.4724


No. 6
An optimized crystal structure of LiZn2In2, computed with GGA-PBE.

Its crystal system is tetragonal. The value obtained for the total energy is -9.78 eV per cell. The calculation puts the calculated formation energy at 0.0317 eV per atom. Its space group is I4/mmm, No. 139.

Lattice parameters (Å, degrees): 4.3868 4.3868 6.7224 70.96 70.96 90.00
Fractional positions:
Zn: 0.3998 0.3998 0.2003
In: 0.2500 0.7500 0.5000
Zn: 0.6002 0.6002 0.7997
In: 0.7500 0.2500 0.5000
Li: 0.0000 0.0000 0.0000


No. 7
An optimized crystal structure of Pm4HoAu5, computed with GGA-PBE.

Its crystal system is tetragonal. The value obtained for the total energy is -48.00 eV per cell. The calculation puts the calculated formation energy at -0.8031 eV per atom. Its space group is P4/mmm, No. 123.

Lattice parameters (Å, degrees): 3.6441 3.6441 18.6226 90.00 90.00 90.00
Fractional positions:
Au: 0.5000 0.5000 0.7020
Au: 0.5000 0.5000 0.5000
Pm: 0.0000 0.0000 0.6009
Au: 0.5000 0.5000 0.0920
Pm: 0.0000 0.0000 0.8032
Pm: 0.0000 0.0000 0.3991
Au: 0.5000 0.5000 0.9080
Au: 0.5000 0.5000 0.2980
Pm: 0.0000 0.0000 0.1968
Ho: 0.0000 0.0000 0.0000


No. 8
An optimized crystal structure of Pm2NiS, computed with GGA-PBE.

Its crystal system is trigonal. The value obtained for the total energy is -23.42 eV per cell. The raw formation energy is -1.002 eV per atom. Its space group is R3m, No. 160.

Lattice parameters (Å, degrees): 3.9420 3.9420 7.5020 74.77 74.77 60.00
Fractional positions:
S: 0.4995 0.4995 0.5015
Pm: 0.2568 0.2568 0.2297
Pm: 0.0769 0.0769 0.7694
Ni: 0.6669 0.6669 0.9994


No. 9
An optimized crystal structure of AgO4F, computed with GGA-PBE.

Its crystal system is triclinic. The value obtained for the total energy is -25.98 eV per cell. The raw formation energy is -0.237 eV per atom. Its space group is P-1, No. 2.

Lattice parameters (Å, degrees): 5.8176 5.1432 4.2175 98.47 74.13 129.10
Fractional positions:
O: 0.6666 0.3008 0.9486
O: 0.3334 0.6992 0.0514
Ag: 0.0000 0.0000 0.0000
F: 0.0000 0.0000 0.5000
O: 0.4555 0.1041 0.8023
O: 0.5445 0.8959 0.1977


No. 10
An optimized crystal structure of LiNdHg3, computed with GGA-PBE.

Its crystal system is monoclinic. The value obtained for the total energy is -18.74 eV per cell. The calculation puts the calculated formation energy at -0.3561 eV per atom. Its space group is P2_1/m, No. 11.

Lattice parameters (Å, degrees): 5.5183 7.0046 6.9758 120.22 90.00 90.00
Fractional positions:
Li: 0.5000 0.0000 0.0000
Nd: 0.2498 0.3343 0.6682
Hg: 0.7498 0.1652 0.3732
Hg: 0.7499 0.2059 0.8336
Hg: 0.2502 0.8348 0.6268
Hg: 0.7499 0.6269 0.7945
Nd: 0.7502 0.6657 0.3318
Li: 0.0000 0.0000 0.0000
Hg: 0.2501 0.3731 0.2055
Hg: 0.2501 0.7941 0.1664


No. 11
An optimized crystal structure of Ba4AgTeI2, computed with GGA-PBE.

Its crystal system is monoclinic. The value obtained for the total energy is -25.99 eV per cell. The raw formation energy is -1.150 eV per atom. Its space group is P2/m, No. 10.

Lattice parameters (Å, degrees): 4.8671 8.8229 8.7636 72.07 90.00 90.00
Fractional positions:
Ag: 0.0000 0.5000 0.5000
Ba: 0.0000 0.2735 0.2476
Te: 0.5000 0.5000 0.0000
Ba: 0.5000 0.7213 0.2679
Ba: 0.5000 0.2787 0.7321
Ba: 0.0000 0.7265 0.7524
I: 0.5000 0.0000 0.5000
I: 0.0000 0.0000 0.0000


No. 12
An optimized crystal structure of ZnBiH, computed with GGA-PBE.

Its crystal system is orthorhombic. The value obtained for the total energy is -31.11 eV per cell. Its space group is Pnma, No. 62.

Lattice parameters (Å, degrees): 7.2170 4.7550 6.9691 90.00 90.00 90.00
Fractional positions:
Zn: 0.5918 0.7500 0.0186
Zn: 0.9082 0.2500 0.5186
Bi: 0.8139 0.2500 0.0430
Bi: 0.1861 0.7500 0.9570
Bi: 0.6861 0.7500 0.5430
H: 0.8798 0.2500 0.7753
Bi: 0.3139 0.2500 0.4570
Zn: 0.4082 0.2500 0.9814
H: 0.1202 0.7500 0.2247
Zn: 0.0918 0.7500 0.4814
H: 0.3798 0.2500 0.7247
H: 0.6202 0.7500 0.2753